Entry 1:
Computed, not measured: K3Sm2CrO6 after structural relaxation at the PBE with a Hubbard U level of DFT.

Summary:
Mass density ... 4.93 Mg/m³
Total energy ... -6.475 eV/atom
Space group ... C2/m, No. 12

Cell: 5.9439 5.9439 6.5372 Å, 98.65 98.65 120.01°
With the nearest neighbours (Å) after each atom.
Element x y z (fractional)
K 0.1610 0.8390 0.5000  6 O 2.71-2.96
K 0.8390 0.1610 0.5000  6 O 2.71-2.96
K 0.5000 0.5000 0.5000  6 O 2.74-2.92
Sm 0.3331 0.6669 0.0000  6 O 2.36-2.37
Sm 0.6669 0.3331 0.0000  6 O 2.36-2.37
Cr 0.0000 0.0000 0.0000  6 O 2.14-2.15
O 0.9390 0.6339 0.8161  1 Cr 2.15, 2 Sm 2.36-2.37
O 0.7551 0.7551 0.1826  1 Cr 2.14, 2 Sm 2.36
O 0.0610 0.3661 0.1839  1 Cr 2.15, 2 Sm 2.36-2.37
O 0.6339 0.9390 0.8161  1 Cr 2.15, 2 Sm 2.36-2.37
O 0.2449 0.2449 0.8174  1 Cr 2.14, 2 Sm 2.36
O 0.3661 0.0610 0.1839  1 Cr 2.15, 2 Sm 2.36-2.37

Entry 2:
Computed, not measured: K2SmCrO6 after structural relaxation at the PBE with a Hubbard U level of DFT.

Summary:
Mass density ... 3.19 Mg/m³
Total energy ... -5.992 eV/atom
Space group ... P-3m1, No. 164

Cell: 5.8300 6.2299 6.2299 Å, 120.00 90.00 90.00°
With the nearest neighbours (Å) after each atom.
Element x y z (fractional)
K 0.0927 0.3333 0.6667  3 O 2.69
K 0.9073 0.6667 0.3333  3 O 2.69
Sm 0.5000 0.0000 0.0000  6 O 2.33
Cr 0.0000 0.0000 0.0000  6 O 1.85
O 0.8086 0.1370 0.2739  1 Cr 1.85
O 0.8086 0.1370 0.8630  1 Cr 1.85
O 0.8086 0.7261 0.8630  1 Cr 1.85
O 0.1914 0.8630 0.1370  1 Cr 1.85
O 0.1914 0.2739 0.1370  1 Cr 1.85
O 0.1914 0.8630 0.7261  1 Cr 1.85

mass density of number 1 (K3Sm2CrO6)? 4.93 Mg/m³